Below is a geometry-optimized TiReS2Cl structure, with properties calculated at the PBE level.

## Properties
total moment: 0.07 μB/atom
ΔE_f (raw): 463 meV per atom
crystal system: tetragonal

Unit cell a=4.590 b=4.590 c=4.906 alpha=90.00 beta=90.00 gamma=90.00
Atoms (fractional coordinates):
Ti  0.000  0.000  0.000
Re  0.500  0.500  0.500
S  0.000  0.500  0.500
S  0.500  0.000  0.500
Cl  0.500  0.500  0.000